[1]
Compound: Zn3CuNi5
Source: the Alexandria database
Functional: PBE-GGA
Structure: optimized geometry

```
Zn3CuNi5
1.0
-3.213 3.213 5.578
3.213 -3.213 5.578
3.213 3.213 -5.578
Zn Cu Ni
6 2 10
Cartesian
3.988 0.775 0.000
0.000 0.000 2.789
0.775 2.438 0.000
2.438 0.775 5.578
0.000 0.000 8.367
-0.775 2.438 5.578
3.213 0.000 2.789
0.000 3.213 2.789
0.000 0.000 0.000
1.883 1.330 -1.570
1.883 -1.330 4.008
1.883 1.330 1.570
1.883 -1.330 7.148
0.000 0.000 5.578
1.330 4.543 -1.570
1.330 1.883 4.008
1.330 4.543 1.570
1.330 1.883 7.148
```

Values from the calculation:
ΔH_f (0 K) = 0.200 eV per atom
Energy above the lowest structure with this stoichiometry = 294 meV per atom

[2]
Compound: NbReIr6
Source: the Alexandria database
Functional: PBE-GGA
Structure: optimized geometry

```
NbReIr6
1.0
5.524 0.000 0.000
0.000 5.524 0.000
0.000 0.000 3.901
Nb Re Ir
1 1 6
Cartesian
0.000 0.000 0.000
2.762 2.762 0.000
0.000 2.762 0.000
1.411 1.411 1.950
1.411 4.113 1.950
2.762 0.000 0.000
4.113 1.411 1.950
4.113 4.113 1.950
```

Values from the calculation:
ΔH_f (0 K) = -0.319 eV per atom

[3]
Compound: Li4In2Sn
Source: the Alexandria database
Functional: PBE-GGA
Structure: optimized geometry

```
Li4In2Sn
1.0
5.053 0.000 0.000
0.000 5.053 0.000
0.000 0.000 14.327
Li In Sn
8 4 2
Cartesian
0.000 0.000 2.744
0.000 0.000 11.582
0.000 2.527 0.000
0.000 2.527 7.163
2.527 0.000 0.000
2.527 0.000 7.163
2.527 2.527 4.419
2.527 2.527 9.908
0.000 0.000 5.572
0.000 0.000 8.755
2.527 2.527 1.591
2.527 2.527 12.736
0.000 0.000 0.000
2.527 2.527 7.163
```

Values from the calculation:
ΔH_f (0 K) = -0.023 eV per atom
Energy above the lowest structure with this stoichiometry = 257 meV per atom

[4]
Compound: Pa4Co12CuB3
Source: the Alexandria database
Functional: PBE-GGA
Structure: optimized geometry

```
Pa4Co12CuB3
1.0
-4.036 4.036 4.036
4.036 -4.036 4.036
4.036 4.036 -4.036
Pa Co Cu B
4 12 1 3
Cartesian
2.018 2.018 -2.018
2.018 -2.018 2.018
-2.018 2.018 2.018
2.018 2.018 2.018
2.205 0.000 0.000
5.867 0.000 0.000
4.036 2.018 0.000
4.036 0.000 2.018
0.000 2.205 0.000
0.000 0.000 2.205
2.018 4.036 0.000
2.018 0.000 4.036
0.000 5.867 0.000
0.000 0.000 5.867
0.000 4.036 2.018
0.000 2.018 4.036
0.000 0.000 0.000
4.036 0.000 0.000
0.000 4.036 0.000
0.000 0.000 4.036
```

Values from the calculation:
ΔH_f (0 K) = -0.237 eV per atom

[5]
Compound: La2Sc2O
Source: the Alexandria database
Functional: PBE-GGA
Structure: optimized geometry

```
La2Sc2O
1.0
5.328 0.000 0.000
0.000 5.328 0.000
0.000 0.000 4.256
La Sc O
2 2 1
Cartesian
0.000 2.664 0.000
2.664 0.000 0.000
0.000 0.000 2.128
2.664 2.664 2.128
0.000 0.000 0.000
```

Values from the calculation:
Energy relative to the elements, uncorrected = -5.9 eV/f.u.

[6]
Compound: CsPRuO2
Source: the Alexandria database
Functional: PBE-GGA
Structure: optimized geometry

```
CsPRuO2
1.0
4.081 0.000 0.000
0.000 4.081 0.000
0.000 0.000 6.998
Cs P Ru O
1 1 1 2
Cartesian
0.000 0.000 0.000
0.000 0.000 3.499
2.041 2.041 3.499
0.000 2.041 0.000
2.041 0.000 0.000
```

Values from the calculation:
Energy relative to the elements, uncorrected = 7.3 eV/f.u.

| no. | spin magnetization (μB/f.u.) | DOS at the Fermi energy (states/eV/cell) |
| --- | --- | --- |
| 1 | 0.00 | 9.87 |
| 2 | 0.00 | 5.95 |
| 3 | 0.00 | 5.60 |
| 4 | 0.00 | 18.00 |
| 5 | 0.00 | 5.14 |
| 6 | 2.50 | 5.49 |